Entry 1:
# KMgSi

A crystal of KMgSi relaxed with PBEsol (SCAN, the Alexandria database).

Structure (POSCAR):
```
KMgSi
1.0
4.829 0.000 0.000
-2.414 4.182 0.000
0.000 0.000 3.977
K Mg Si
1 1 1
direct
0.000 0.000 0.000
0.333 0.667 0.500
0.667 0.333 0.500
```

Results
Its crystal system is hexagonal. The calculation puts the formation energy from raw total energies at 203 meV per atom. The calculation puts the uncorrected energy at -7.570 eV per atom. As for the offset from the most stable computed form: 0.0 meV/atom. As for the space group: P-6m2.

Entry 2:
# KMgSi

A crystal of KMgSi relaxed with PBEsol (SCAN, the Alexandria database).

Structure (POSCAR):
```
KMgSi
1.0
3.311 0.000 0.000
-1.656 2.868 0.000
0.000 0.000 8.073
K Mg Si
1 1 1
direct
0.000 0.000 0.000
0.333 0.667 0.582
0.667 0.333 0.331
```

Results
Its crystal system is trigonal. The calculation puts the formation energy from raw total energies at 429 meV per atom. The calculation puts the uncorrected energy at -7.344 eV per atom. As for the offset from the most stable computed form: 226.4 meV/atom. As for the space group: P3m1.

Entry 3:
# KMgSi2

A crystal of KMgSi2 relaxed with PBEsol (SCAN, the Alexandria database).

Structure (POSCAR):
```
KMgSi2
1.0
3.751 -1.877 0.000
3.751 1.877 0.000
-1.861 0.000 7.637
K Mg Si
1 1 2
direct
0.000 0.000 0.000
0.192 0.192 0.586
0.457 0.457 0.384
0.761 0.761 0.315
```

Results
Its crystal system is monoclinic. The calculation puts the formation energy from raw total energies at 222 meV per atom. The calculation puts the uncorrected energy at -8.111 eV per atom. As for the space group: Cm.

Entry 4:
# KMgSi

A crystal of KMgSi relaxed with PBEsol (SCAN, the Alexandria database).

Structure (POSCAR):
```
KMgSi
1.0
0.000 3.633 3.633
3.633 0.000 3.633
3.633 3.633 0.000
K Mg Si
1 1 1
direct
0.000 0.000 0.000
0.750 0.750 0.750
0.250 0.250 0.250
```

Results
Its crystal system is cubic. The calculation puts the formation energy from raw total energies at 1040 meV per atom. The calculation puts the uncorrected energy at -6.733 eV per atom. As for the offset from the most stable computed form: 837.5 meV/atom. As for the space group: F-43m.

Entry 5:
# KMgSi2

A crystal of KMgSi2 relaxed with PBEsol (SCAN, the Alexandria database).

Structure (POSCAR):
```
KMgSi2
1.0
-2.261 2.261 4.173
2.261 -2.261 4.173
2.261 2.261 -4.173
K Mg Si
1 1 2
direct
0.000 0.000 0.000
0.750 0.250 0.500
0.250 0.750 0.500
0.500 0.500 0.000
```

Results
Its crystal system is tetragonal. The calculation puts the formation energy from raw total energies at 616 meV per atom. The calculation puts the uncorrected energy at -7.718 eV per atom. As for the space group: I-4m2.

Entry 6:
# KMgSi2

A crystal of KMgSi2 relaxed with PBEsol (SCAN, the Alexandria database).

Structure (POSCAR):
```
KMgSi2
1.0
-1.825 2.136 6.688
1.825 -2.136 6.688
1.825 2.136 -6.688
K Mg Si
1 1 2
direct
0.000 0.000 0.000
0.736 0.236 0.500
0.241 0.741 0.500
0.357 0.357 0.000
```

Results
Its crystal system is orthorhombic. The calculation puts the formation energy from raw total energies at 48 meV per atom. The calculation puts the uncorrected energy at -8.285 eV per atom. As for the space group: Imm2.

Entry 7:
# K2MgSi

A crystal of K2MgSi relaxed with PBEsol (SCAN, the Alexandria database).

Structure (POSCAR):
```
K2MgSi
1.0
3.781 0.000 0.000
0.000 5.547 0.000
-0.583 0.000 5.919
K Mg Si
2 1 1
direct
0.080 0.000 0.267
0.920 0.000 0.733
0.500 0.500 0.000
0.500 0.500 0.500
```

Results
Its crystal system is monoclinic. The calculation puts the formation energy from raw total energies at 445 meV per atom. The calculation puts the uncorrected energy at -7.467 eV per atom. As for the space group: P2/m.

Entry 8:
# KMgTiSn2

A crystal of KMgTiSn2 relaxed with PBEsol (SCAN, the Alexandria database).

Structure (POSCAR):
```
KMgTiSn2
1.0
5.299 0.000 0.000
0.000 5.299 0.000
0.000 0.000 5.375
K Mg Ti Sn
1 1 1 2
direct
0.000 0.000 0.000
0.000 0.000 0.500
0.500 0.500 0.000
0.000 0.500 0.500
0.500 0.000 0.500
```

Results
Its crystal system is tetragonal. The calculation puts the energy of formation from the pure elements at 0.6807 eV per atom. The calculation puts the uncorrected energy at -19.554 eV per atom. As for the space group: P4/mmm.